Record 1
This record from Alexandria via LeMat-Bulk describes RbTl3Rh after structural relaxation. The functional is GGA-PBE.

## Properties
E above lowest polymorph = 10 meV/atom
Calculated formation energy = -0.053 eV/atom
D(E_F) = 0.630 states/eV per atom

Cell: 5.571 5.571 10.912 Å, 84.14 84.12 63.75°
Element x y z (fractional)
Rb (0.196, 0.196, 0.402)
Rb (0.804, 0.804, 0.598)
Tl (0.109, 0.109, 0.778)
Tl (0.241, 0.242, 0.065)
Tl (0.448, 0.447, 0.778)
Tl (0.552, 0.553, 0.222)
Tl (0.759, 0.758, 0.935)
Tl (0.891, 0.891, 0.222)
Rh (0.250, 0.750, 0.000)
Rh (0.750, 0.250, 0.000)

Record 2
This record from Alexandria via LeMat-Bulk describes KCdW2 after structural relaxation. The functional is GGA-PBE.

## Properties
Calculated formation energy = 1.130 eV/atom
D(E_F) = 0.684 states/eV per atom

Cell: 3.068 4.652 11.288 Å, 90.00 90.00 90.00°
Element x y z (fractional)
K (0.000, 0.000, 0.000)
K (0.500, 0.500, 0.000)
Cd (0.000, 0.000, 0.500)
Cd (0.500, 0.500, 0.500)
W (0.000, 0.500, 0.277)
W (0.000, 0.500, 0.723)
W (0.500, 0.000, 0.277)
W (0.500, 0.000, 0.723)

Record 3
This record from Alexandria via LeMat-Bulk describes LiSnHgGe after structural relaxation. The functional is GGA-PBE.

## Properties
Calculated formation energy = -0.023 eV/atom
D(E_F) = 0.459 states/eV per atom

Cell: 7.079 7.079 7.079 Å, 90.00 90.00 90.00°
Element x y z (fractional)
Li (0.000, 0.000, 0.000)
Li (0.000, 0.500, 0.500)
Li (0.500, 0.000, 0.500)
Li (0.500, 0.500, 0.000)
Sn (0.250, 0.250, 0.250)
Sn (0.250, 0.750, 0.750)
Sn (0.750, 0.250, 0.750)
Sn (0.750, 0.750, 0.250)
Hg (0.250, 0.250, 0.750)
Hg (0.250, 0.750, 0.250)
Hg (0.750, 0.250, 0.250)
Hg (0.750, 0.750, 0.750)
Ge (0.000, 0.000, 0.500)
Ge (0.000, 0.500, 0.000)
Ge (0.500, 0.000, 0.000)
Ge (0.500, 0.500, 0.500)

Record 4
This record from Alexandria via LeMat-Bulk describes ScHg2Ru after structural relaxation. The functional is GGA-PBE.

## Properties
E above lowest polymorph = 397 meV/atom
Calculated formation energy = 0.269 eV/atom
D(E_F) = 1.015 states/eV per atom

Cell: 3.145 3.145 27.994 Å, 90.00 90.00 120.00°
Element x y z (fractional)
Sc (0.000, 0.000, 0.000)
Sc (0.333, 0.667, 0.667)
Sc (0.667, 0.333, 0.333)
Hg (0.000, 0.000, 0.247)
Hg (0.000, 0.000, 0.753)
Hg (0.333, 0.667, 0.420)
Hg (0.333, 0.667, 0.913)
Hg (0.667, 0.333, 0.087)
Hg (0.667, 0.333, 0.580)
Ru (0.000, 0.000, 0.500)
Ru (0.333, 0.667, 0.167)
Ru (0.667, 0.333, 0.833)

Record 5
This record from Alexandria via LeMat-Bulk describes TaAu2N after structural relaxation. The functional is GGA-PBE.

## Properties
Formation energy (no corrections) = 0.50 eV per atom
D(E_F) = 0.340 states/eV per atom

Cell: 8.308 8.308 4.050 Å, 90.00 90.00 90.00°
Element x y z (fractional)
Ta (0.000, 0.000, 0.000)
Ta (0.000, 0.500, 0.250)
Ta (0.500, 0.000, 0.750)
Ta (0.500, 0.500, 0.500)
Au (0.144, 0.250, 0.625)
Au (0.250, 0.644, 0.875)
Au (0.250, 0.856, 0.375)
Au (0.356, 0.250, 0.125)
Au (0.644, 0.750, 0.125)
Au (0.750, 0.144, 0.375)
Au (0.750, 0.356, 0.875)
Au (0.856, 0.750, 0.625)
N (0.000, 0.000, 0.500)
N (0.000, 0.500, 0.750)
N (0.500, 0.000, 0.250)
N (0.500, 0.500, 0.000)

Record 6
This record from Alexandria via LeMat-Bulk describes PrYZnRh after structural relaxation. The functional is GGA-PBE.

## Properties
E above lowest polymorph = 0 meV/atom
Calculated formation energy = -0.534 eV/atom
D(E_F) = 0.821 states/eV per atom

Cell: 4.448 3.969 10.796 Å, 90.00 90.00 90.00°
Element x y z (fractional)
Pr (0.000, 0.000, 0.000)
Pr (0.000, 0.500, 0.500)
Y (0.500, 0.000, 0.720)
Y (0.500, 0.500, 0.220)
Zn (0.500, 0.000, 0.426)
Zn (0.500, 0.500, 0.926)
Rh (0.000, 0.000, 0.283)
Rh (0.000, 0.500, 0.783)

Record 7
This record from Alexandria via LeMat-Bulk describes Pm5NdSm8 after structural relaxation. The functional is GGA-PBE.

## Properties
Calculated formation energy = 0.229 eV/atom
D(E_F) = 1.460 states/eV per atom

Cell: 8.594 8.594 8.594 Å, 111.35 111.35 105.77°
Element x y z (fractional)
Pm (0.000, 0.000, 0.000)
Pm (0.318, 0.217, 0.682)
Pm (0.364, 0.682, 0.898)
Pm (0.535, 0.636, 0.318)
Pm (0.783, 0.465, 0.102)
Nd (0.750, 0.250, 0.500)
Sm (0.031, 0.779, 0.605)
Sm (0.065, 0.328, 0.903)
Sm (0.174, 0.426, 0.395)
Sm (0.221, 0.826, 0.252)
Sm (0.426, 0.163, 0.097)
Sm (0.574, 0.969, 0.748)
Sm (0.672, 0.574, 0.737)
Sm (0.837, 0.935, 0.263)

Record 8
This record from Alexandria via LeMat-Bulk describes SrSbSe2F after structural relaxation. The functional is GGA-PBE.

## Properties
Formation energy (no corrections) = -1.72 eV per atom

Cell: 4.122 4.122 14.644 Å, 90.00 90.00 90.00°
Element x y z (fractional)
Sr (0.250, 0.250, 0.099)
Sr (0.750, 0.750, 0.901)
Sb (0.250, 0.250, 0.633)
Sb (0.750, 0.750, 0.367)
Se (0.250, 0.250, 0.392)
Se (0.250, 0.250, 0.808)
Se (0.750, 0.750, 0.192)
Se (0.750, 0.750, 0.608)
F (0.250, 0.750, 0.000)
F (0.750, 0.250, 0.000)

no.,electronic total energy (eV for the cell shown)
1,-31.4
2,-46.8
3,-43.7
4,-45.4
5,-98.9
6,-44.0
7,-63.1
8,-46.5